SrMnBiSbO6 | GGA+U | optimized geometry

Geometry as extended XYZ:
```
10
Lattice="0.0000 4.0713 4.0713 4.0713 0.0000 4.0713 4.0713 4.0713 0.0000" Properties=species:S:1:pos:R:3 pbc="T T T"
O 4.0713 4.0713 2.0889
O 4.0713 6.0537 4.0713
O 6.0537 4.0713 4.0713
O 2.0889 4.0713 4.0713
O 4.0713 2.0889 4.0713
O 4.0713 4.0713 6.0537
Sb 4.0713 4.0713 4.0713
Sr 2.0357 2.0357 2.0357
Mn 0.0000 0.0000 0.0000
Bi 6.1070 6.1070 6.1070
```

total energy = -63.4 eV for the cell shown
energy above the most stable polymorph in this dataset = 1.71 eV/f.u.